(1)
VPd2N | PBE | optimized geometry

Lattice parameters (Å, degrees): 6.7474 6.7474 6.7474 138.37 138.37 60.34
Last column: nearest neighbours and their distance in Å.
Atoms (fractional coordinates):
V: 0.0000 0.0000 0.0000  4 Pd 2.53
V: 0.7500 0.2500 0.5000  4 Pd 2.53
Pd: 0.2270 0.6250 0.1020  2 N 2.02
Pd: 0.3750 0.4770 0.6020  2 N 2.02
Pd: 0.5230 0.1250 0.8980  2 N 2.02
Pd: 0.8750 0.7730 0.3980  2 N 2.02
N: 0.2500 0.7500 0.5000  4 Pd 2.02
N: 0.5000 0.5000 0.0000  4 Pd 2.02


(2)
CsAgOsO4 | PBE | optimized geometry

Lattice parameters (Å, degrees): 6.1090 6.1090 6.1090 116.05 116.05 97.00
Last column: nearest neighbours and their distance in Å.
Atoms (fractional coordinates):
Cs: 0.0000 0.0000 0.0000  8 O 3.18-3.29
Ag: 0.5000 0.5000 0.0000  4 O 2.34
Os: 0.7500 0.2500 0.5000  4 O 1.80
O: 0.0606 0.4329 0.8512  1 Os 1.80
O: 0.5671 0.4182 0.6277  1 Os 1.80
O: 0.5818 0.2095 0.1488  1 Os 1.80
O: 0.7905 0.9394 0.3723  1 Os 1.80


Q: Which calculated total energy values were calculated for the entries above? A: -24.655; -41.212, in eV/f.u..